1.
Here is crystalline Th5Te2Pt2 at its relaxed geometry from Alexandria. Energies are from GGA-PBE.

Cell: 8.9968 8.9968 7.5532 Å, 90.00 90.00 57.72°
Fractional positions:
Th 0.0000 0.0000 0.0000
Th 0.0507 0.6984 0.6524
Th 0.1984 0.5507 0.1524
Th 0.3016 0.9493 0.6524
Th 0.4493 0.8016 0.1524
Th 0.5000 0.5000 0.5000
Th 0.5507 0.1984 0.8476
Th 0.6984 0.0507 0.3476
Th 0.8016 0.4493 0.8476
Th 0.9493 0.3016 0.3476
Te 0.2053 0.2053 0.0000
Te 0.2947 0.2947 0.5000
Te 0.7053 0.7053 0.5000
Te 0.7947 0.7947 0.0000
Pt 0.1163 0.8837 0.3561
Pt 0.3837 0.6163 0.8561
Pt 0.6163 0.3837 0.1439
Pt 0.8837 0.1163 0.6439

* space-group type: Cmce, No. 64
* formation energy without anion corrections: -840 kJ/mol of formula units

2.
Here is crystalline KBPb at its relaxed geometry from Alexandria. Energies are from GGA-PBE.

Cell: 7.0420 7.2818 7.7220 Å, 74.32 67.15 74.51°
Fractional positions:
K 0.0000 0.0000 0.0000
K 0.0081 0.9935 0.5202
K 0.5441 0.6783 0.4560
K 0.5727 0.6563 0.9211
B 0.1610 0.6005 0.7974
B 0.3108 0.3994 0.8346
B 0.4089 0.4036 0.3207
B 0.6492 0.3221 0.2320
Pb 0.0741 0.4579 0.5662
Pb 0.4350 0.1659 0.0873
Pb 0.4641 0.1438 0.6063
Pb 0.9845 0.4529 0.1402

* space-group type: P1, No. 1
* ΔH_f (0 K): 0.40 eV per atom
* energy above the most stable polymorph in this dataset: 264 meV per atom

| no. | theoretical density (Mg/m³) | raw total energy (eV for the cell shown) |
| --- | --- | --- |
| 1 | 11.6 | -128.3 |
| 2 | 4.9 | -41.1 |